## TcPCl2 (PBE)

Data for an optimized crystal structure of TcPCl2.

Cell and atoms, written as CIF:
```
data_TcPCl2
_space_group_name_H-M_alt 'P 1'
_space_group_IT_number 1
_cell_length_a 7.473
_cell_length_b 7.473
_cell_length_c 3.131
_cell_angle_alpha 90.00
_cell_angle_beta 90.00
_cell_angle_gamma 144.46
loop_
_space_group_symop_operation_xyz
'x,y,z'
loop_
_atom_site_label
_atom_site_fract_x
_atom_site_fract_y
_atom_site_fract_z
Tc1 0.000 0.000 0.000
P1 0.500 0.500 0.000
Cl1 0.133 0.867 0.500
Cl2 0.867 0.133 0.500
```

Summary:
DOS at the Fermi energy, states/eV/cell: 0.606
Distance to the lowest polymorph of the same formula, eV/f.u.: 0.99
Density, Mg/m³: 3.3
Total magnetic moment, μB per atom: 0.000
Formation energy without anion corrections, meV per atom: -197

---

## TcP2Cl (PBE)

Data for an optimized crystal structure of TcP2Cl.

Cell and atoms, written as CIF:
```
data_TcP2Cl
_space_group_name_H-M_alt 'P 1'
_space_group_IT_number 1
_cell_length_a 3.529
_cell_length_b 3.529
_cell_length_c 4.962
_cell_angle_alpha 90.00
_cell_angle_beta 90.00
_cell_angle_gamma 90.00
loop_
_space_group_symop_operation_xyz
'x,y,z'
loop_
_atom_site_label
_atom_site_fract_x
_atom_site_fract_y
_atom_site_fract_z
Tc1 0.000 0.000 0.000
P1 0.000 0.500 0.500
P2 0.500 0.000 0.500
Cl1 0.500 0.500 0.000
```

Summary:
DOS at the Fermi energy, states/eV/cell: 3.411
Distance to the lowest polymorph of the same formula, eV/f.u.: 3.65
Density, Mg/m³: 5.2
Total magnetic moment, μB per atom: 0.263
Formation energy without anion corrections, meV per atom: 751

---

## TcPCl2 (PBE)

Data for an optimized crystal structure of TcPCl2.

Cell and atoms, written as CIF:
```
data_TcPCl2
_space_group_name_H-M_alt 'P 1'
_space_group_IT_number 1
_cell_length_a 4.902
_cell_length_b 4.902
_cell_length_c 2.863
_cell_angle_alpha 90.00
_cell_angle_beta 90.00
_cell_angle_gamma 107.34
loop_
_space_group_symop_operation_xyz
'x,y,z'
loop_
_atom_site_label
_atom_site_fract_x
_atom_site_fract_y
_atom_site_fract_z
Tc1 0.000 0.000 0.000
P1 0.500 0.500 0.000
Cl1 0.000 0.500 0.500
Cl2 0.500 0.000 0.500
```

Summary:
DOS at the Fermi energy, states/eV/cell: 4.171
Distance to the lowest polymorph of the same formula, eV/f.u.: 5.96
Density, Mg/m³: 5.1
Total magnetic moment, μB per atom: 0.000
Formation energy without anion corrections, meV per atom: 1046

---

## TcP4Cl (PBE)

Data for an optimized crystal structure of TcP4Cl.

Cell and atoms, written as CIF:
```
data_TcP4Cl
_space_group_name_H-M_alt 'P 1'
_space_group_IT_number 1
_cell_length_a 5.442
_cell_length_b 5.442
_cell_length_c 5.442
_cell_angle_alpha 60.00
_cell_angle_beta 60.00
_cell_angle_gamma 60.00
loop_
_space_group_symop_operation_xyz
'x,y,z'
loop_
_atom_site_label
_atom_site_fract_x
_atom_site_fract_y
_atom_site_fract_z
Tc1 0.000 0.000 0.000
P1 0.189 0.604 0.604
P2 0.604 0.189 0.604
P3 0.604 0.604 0.189
P4 0.604 0.604 0.604
Cl1 0.250 0.250 0.250
```

Summary:
DOS at the Fermi energy, states/eV/cell: 1.786
Density, Mg/m³: 3.7
Total magnetic moment, μB per atom: 0.671
Formation energy without anion corrections, meV per atom: 738